--- A ---
DFT (PBE) results for crystalline HgPd2Br at its relaxed geometry.

Properties
Space-group type: I-42d (122)
ρ (Mg/m³): 8.959

Cell: 4.6753 4.6753 8.9959 Å, 74.94 74.94 90.00°
Element x y z (fractional)
Br 0.5000 0.5000 0.0000
Br 0.2500 0.7500 0.5000
Hg 0.0000 0.0000 0.0000
Hg 0.7500 0.2500 0.5000
Pd 0.5650 0.1250 0.2500
Pd 0.1850 0.6250 0.2500
Pd 0.3750 0.4350 0.7500
Pd 0.8750 0.8150 0.7500

***

--- B ---
DFT (PBE) results for crystalline HgPd2Br at its relaxed geometry.

Properties
Space-group type: Fm-3m (225)
ρ (Mg/m³): 10.783

Cell: 4.7540 4.7540 4.7540 Å, 60.00 60.00 60.00°
Element x y z (fractional)
Br 0.0000 0.0000 0.0000
Hg 0.5000 0.5000 0.5000
Pd 0.2500 0.2500 0.2500
Pd 0.7500 0.7500 0.7500

***

It is A that is the least stable of them.

***

--- A ---
DFT (PBE) results for crystalline Pr2HgBr at its relaxed geometry.

Properties
Space-group type: R-3m (166)
ρ (Mg/m³): 7.609

Cell: 4.3968 4.3968 7.7566 Å, 73.54 73.54 60.00°
Element x y z (fractional)
Pr 0.2497 0.2497 0.2509
Pr 0.7503 0.7503 0.7491
Hg 0.0000 0.0000 0.0000
Br 0.5000 0.5000 0.5000

***

--- B ---
DFT (PBE) results for crystalline Pr2HgBr at its relaxed geometry.

Properties
Space-group type: P4/mmm (123)
ρ (Mg/m³): 8.319

Cell: 3.6097 3.6097 8.6142 Å, 90.00 90.00 90.00°
Element x y z (fractional)
Pr 0.0000 0.0000 0.7579
Pr 0.0000 0.0000 0.2421
Hg 0.5000 0.5000 0.0000
Br 0.5000 0.5000 0.5000

***

It is B that is the least stable of them.

***

--- A ---
DFT (PBE) results for crystalline HgPtBr2 at its relaxed geometry.

Properties
Space-group type: R-3m (166)
ρ (Mg/m³): 8.730

Cell: 11.5694 11.5694 11.5694 Å, 16.25 16.25 16.25°
Element x y z (fractional)
Br 0.9307 0.9307 0.9307
Br 0.0693 0.0693 0.0693
Hg 0.5000 0.5000 0.5000
Pt 0.0000 0.0000 0.0000

***

--- B ---
DFT (PBE) results for crystalline HgPtBr2 at its relaxed geometry.

Properties
Space-group type: F-43m (216)
ρ (Mg/m³): 10.338

Cell: 5.0157 5.0157 5.0157 Å, 60.00 60.00 60.00°
Element x y z (fractional)
Br 0.0000 0.0000 0.0000
Br 0.7500 0.7500 0.7500
Hg 0.5000 0.5000 0.5000
Pt 0.2500 0.2500 0.2500

***

It is B that is the least stable of them.

***

--- A ---
DFT (PBE) results for crystalline HgPtBr2 at its relaxed geometry.

Properties
Space-group type: Cmmm (65)
ρ (Mg/m³): 10.203

Cell: 5.0727 5.0727 3.5133 Å, 90.00 90.00 89.72°
Element x y z (fractional)
Br 0.0000 0.0000 0.0000
Br 0.5000 0.5000 0.0000
Hg 0.5000 0.0000 0.5000
Pt 0.0000 0.5000 0.5000

***

--- B ---
DFT (PBE) results for crystalline HgPtBr2 at its relaxed geometry.

Properties
Space-group type: R-3m (166)
ρ (Mg/m³): 7.307

Cell: 9.7298 9.7298 9.7298 Å, 23.27 23.27 23.27°
Element x y z (fractional)
Br 0.0330 0.0330 0.0330
Br 0.4670 0.4670 0.4670
Hg 0.2500 0.2500 0.2500
Pt 0.7500 0.7500 0.7500

***

It is A that is the least stable of them.

***

--- A ---
DFT (PBE) results for crystalline HgPtBr2 at its relaxed geometry.

Properties
Space-group type: Cmm2 (35)
ρ (Mg/m³): 7.375

Cell: 4.2233 4.2233 9.0325 Å, 90.00 90.00 129.08°
Element x y z (fractional)
Br 0.0000 0.0000 0.9236
Br 0.5000 0.5000 0.3062
Hg 0.0000 0.0000 0.5267
Pt 0.5000 0.5000 0.7434

***

--- B ---
DFT (PBE) results for crystalline HgPtBr2 at its relaxed geometry.

Properties
Space-group type: P2/m (10)
ρ (Mg/m³): 6.486

Cell: 3.6309 4.2426 9.2335 Å, 89.02 90.00 90.00°
Element x y z (fractional)
Br 0.0000 0.8006 0.9276
Br 0.0000 0.6994 0.5724
Hg 0.5000 0.2500 0.2500
Pt 0.5000 0.7500 0.7500

***

It is A that is the least stable of them.

***

--- A ---
DFT (PBE) results for crystalline HgPtBr2 at its relaxed geometry.

Properties
Space-group type: I-42d (122)
ρ (Mg/m³): 5.180

Cell: 7.6737 7.6737 8.1256 Å, 61.82 61.82 90.00°
Element x y z (fractional)
Br 0.4293 0.1250 0.2500
Br 0.3207 0.6250 0.2500
Br 0.3750 0.5707 0.7500
Br 0.8750 0.6793 0.7500
Hg 0.0000 0.0000 0.0000
Hg 0.7500 0.2500 0.5000
Pt 0.5000 0.5000 0.0000
Pt 0.2500 0.7500 0.5000

***

--- B ---
DFT (PBE) results for crystalline HgPtBr2 at its relaxed geometry.

Properties
Space-group type: Fm-3m (225)
ρ (Mg/m³): 10.167

Cell: 5.0436 5.0436 5.0436 Å, 60.00 60.00 60.00°
Element x y z (fractional)
Br 0.2500 0.2500 0.2500
Br 0.7500 0.7500 0.7500
Hg 0.5000 0.5000 0.5000
Pt 0.0000 0.0000 0.0000

***

It is B that is the least stable of them.

***

--- A ---
DFT (PBE) results for crystalline HgPtBr at its relaxed geometry.

Properties
Space-group type: P2_1/m (11)
ρ (Mg/m³): 10.456

Cell: 5.4990 3.8298 7.3201 Å, 90.00 101.53 90.00°
Element x y z (fractional)
Br 0.2715 0.2500 0.6461
Br 0.7285 0.7500 0.3539
Hg 0.1145 0.2500 0.1515
Hg 0.8855 0.7500 0.8485
Pt 0.5918 0.2500 0.1184
Pt 0.4082 0.7500 0.8816

***

--- B ---
DFT (PBE) results for crystalline HgPtBr at its relaxed geometry.

Properties
Space-group type: Cmcm (63)
ρ (Mg/m³): 10.281

Cell: 5.4042 14.9063 3.8141 Å, 90.00 90.00 90.00°
Element x y z (fractional)
Br 0.0000 0.8217 0.2500
Br 0.0000 0.1783 0.7500
Br 0.5000 0.3217 0.2500
Br 0.5000 0.6783 0.7500
Hg 0.0000 0.5826 0.2500
Hg 0.0000 0.4174 0.7500
Hg 0.5000 0.0826 0.2500
Hg 0.5000 0.9174 0.7500
Pt 0.0000 0.0604 0.2500
Pt 0.0000 0.9396 0.7500
Pt 0.5000 0.5604 0.2500
Pt 0.5000 0.4396 0.7500

***

--- C ---
DFT (PBE) results for crystalline HgPtBr at its relaxed geometry.

Properties
Space-group type: P-1 (2)
ρ (Mg/m³): 9.792

Cell: 3.7163 6.3898 7.0583 Å, 83.74 78.23 80.40°
Element x y z (fractional)
Br 0.1866 0.7452 0.3319
Br 0.8134 0.2548 0.6681
Hg 0.3551 0.3169 0.1899
Hg 0.6449 0.6831 0.8101
Pt 0.7323 0.9136 0.1108
Pt 0.2677 0.0864 0.8892

***

It is C that is the least stable of them.

***

--- A ---
DFT (PBE) results for crystalline HgPtBr at its relaxed geometry.

Properties
Space-group type: Pmm2 (25)
ρ (Mg/m³): 10.331

Cell: 4.0041 4.9484 3.8581 Å, 90.00 90.00 90.00°
Element x y z (fractional)
Br 0.0000 0.0000 0.3717
Hg 0.5000 0.5000 0.7482
Pt 0.0000 0.5000 0.2425

***

--- B ---
DFT (PBE) results for crystalline HgPtBr at its relaxed geometry.

Properties
Space-group type: Imm2 (44)
ρ (Mg/m³): 9.386

Cell: 6.2024 6.2024 6.2024 Å, 143.51 143.38 52.66°
Element x y z (fractional)
Br 0.9822 0.9822 0.0000
Hg 0.2535 0.2535 0.0000
Pt 0.7644 0.7644 0.0000

***

It is B that is the least stable of them.

***

--- A ---
DFT (PBE) results for crystalline HgPtBr at its relaxed geometry.

Properties
Space-group type: I4mm (107)
ρ (Mg/m³): 11.731

Cell: 6.2125 6.2125 6.2125 Å, 147.94 147.94 45.97°
Element x y z (fractional)
Br 0.0189 0.0189 0.0000
Hg 0.3009 0.3009 0.0000
Pt 0.6803 0.6803 0.0000

***

--- B ---
DFT (PBE) results for crystalline HgPtBr at its relaxed geometry.

Properties
Space-group type: F-43m (216)
ρ (Mg/m³): 11.015

Cell: 4.6630 4.6630 4.6630 Å, 60.00 60.00 60.00°
Element x y z (fractional)
Br 0.0000 0.0000 0.0000
Hg 0.5000 0.5000 0.5000
Pt 0.7500 0.7500 0.7500

***

--- C ---
DFT (PBE) results for crystalline HgPtBr at its relaxed geometry.

Properties
Space-group type: Amm2 (38)
ρ (Mg/m³): 9.024

Cell: 3.7472 4.4704 11.5082 Å, 90.00 90.00 114.78°
Element x y z (fractional)
Hg 0.5480 0.0959 0.0000
Hg 0.4058 0.8116 0.5000
Pt 0.7072 0.4145 0.3849
Pt 0.7072 0.4145 0.6151
Br 0.1492 0.2984 0.7583
Br 0.1492 0.2984 0.2417

***

It is A that is the least stable of them.

***

--- A ---
DFT (PBE) results for crystalline HgPtBr at its relaxed geometry.

Properties
Space-group type: P3m1 (156)
ρ (Mg/m³): 11.452

Cell: 3.7610 3.7610 5.6293 Å, 90.00 90.00 120.00°
Element x y z (fractional)
Br 0.0000 0.0000 0.9657
Hg 0.6667 0.3333 0.3682
Pt 0.3333 0.6667 0.6662

***

--- B ---
DFT (PBE) results for crystalline HgPtBr at its relaxed geometry.

Properties
Space-group type: Fmm2 (42)
ρ (Mg/m³): 10.928

Cell: 7.4708 6.8970 3.6843 Å, 83.98 66.65 29.37°
Element x y z (fractional)
Br 0.0138 0.0138 0.9862
Hg 0.3236 0.3236 0.6764
Pt 0.6626 0.6626 0.3374

***

It is B that is the least stable of them.

***

--- A ---
DFT (PBE) results for crystalline Hg2PtBr6 at its relaxed geometry.

Properties
Space-group type: P2_1/c (14)
ρ (Mg/m³): 5.364

Cell: 4.8385 12.8426 10.7707 Å, 90.00 90.00 95.67°
Element x y z (fractional)
Hg 0.2136 0.4905 0.6568
Hg 0.2864 0.0095 0.1568
Hg 0.7136 0.9905 0.8432
Hg 0.7864 0.5095 0.3432
Pt 0.5000 0.0000 0.5000
Pt 0.0000 0.5000 0.0000
Br 0.1426 0.6238 0.1666
Br 0.2291 0.3785 0.4608
Br 0.2101 0.8913 0.3546
Br 0.2899 0.6087 0.8546
Br 0.2709 0.1215 0.9608
Br 0.3574 0.8762 0.6666
Br 0.8574 0.3762 0.8334
Br 0.7709 0.6215 0.5392
Br 0.7899 0.1087 0.6454
Br 0.7101 0.3913 0.1454
Br 0.7291 0.8785 0.0392
Br 0.6426 0.1238 0.3334

***

--- B ---
DFT (PBE) results for crystalline Hg2PtBr6 at its relaxed geometry.

Properties
Space-group type: C2/c (15)
ρ (Mg/m³): 5.853

Cell: 8.4076 8.5533 8.5533 Å, 83.52 92.12 92.12°
Element x y z (fractional)
Hg 0.2060 0.6248 0.7454
Hg 0.2940 0.2546 0.3752
Hg 0.7940 0.3752 0.2546
Hg 0.7060 0.7454 0.6248
Pt 0.2500 0.1015 0.8985
Pt 0.7500 0.8985 0.1015
Br 0.3989 0.7199 0.5109
Br 0.1011 0.4891 0.2801
Br 0.6011 0.2801 0.4891
Br 0.8989 0.5109 0.7199
Br 0.8755 0.8726 0.3663
Br 0.6245 0.6337 0.1274
Br 0.1245 0.1274 0.6337
Br 0.3755 0.3663 0.8726
Br 0.1324 0.8334 0.9451
Br 0.3676 0.0549 0.1666
Br 0.8676 0.1666 0.0549
Br 0.6324 0.9451 0.8334

***

It is B that is the least stable of them.

***

--- A ---
DFT (PBE) results for crystalline PuHgBr6 at its relaxed geometry.

Properties
Space-group type: R-3 (148)
ρ (Mg/m³): 5.635

Cell: 6.9902 6.9903 7.5962 Å, 62.60 62.61 59.98°
Element x y z (fractional)
Pu 0.5000 0.5000 0.5000
Hg 0.0000 0.0000 0.0000
Br 0.0929 0.4183 0.7478
Br 0.7411 0.0928 0.7479
Br 0.5818 0.2588 0.2522
Br 0.2589 0.9072 0.2521
Br 0.9071 0.5817 0.2522
Br 0.4182 0.7412 0.7478

***

--- B ---
DFT (PBE) results for crystalline PuHgBr6 at its relaxed geometry.

Properties
Space-group type: C2/m (12)
ρ (Mg/m³): 5.115

Cell: 7.1064 7.1078 7.3046 Å, 60.89 79.74 68.51°
Element x y z (fractional)
Pu 0.5000 0.5000 0.0000
Hg 0.0000 0.0000 0.0000
Br 0.7545 0.3990 0.6931
Br 0.7545 0.0922 0.3069
Br 0.2455 0.9078 0.6931
Br 0.2455 0.6010 0.3069
Br 0.7296 0.7298 0.0000
Br 0.2704 0.2702 0.0000

***

It is A that is the least stable of them.